A relaxed structure of Hf2GeAu2, computed with PBE-GGA.

a = 4.4810 Å, b = 4.4810 Å, c = 11.4567 Å
α = 90.00°, β = 90.00°, γ = 90.00°
Last column: nearest neighbours and their distance in Å.
Space group I4/mmm (No. 139)
Inequivalent atoms, fractional coordinates:
Hf 0.0000 0.5000 0.2500 x4  4 Au 2.74
Ge 0.0000 0.0000 0.0000 x2  8 Au 3.42, 8 Hf 3.64
Au 0.0000 0.0000 0.3875 x4  1 Au 2.58, 4 Hf 2.74

Results
Magnetic moment = 0.1 μB per formula unit
Calculated volume = 23.00 Å³/atom
Energy above the most stable polymorph in this dataset = 0.66 eV per formula unit